The following is a GGA-PBE calculation of KGa2Pd2 after structural relaxation, from Alexandria via LeMat-Bulk.

## Properties
final energy: -3.882 eV/atom
energy of formation from the pure elements: -0.374 eV/atom
relative energy among the computed polymorphs: 30 meV/atom
crystal system: tetragonal

Cell: 8.017 8.017 2.827 Å, 90.00 90.00 90.00°
Space group P4/mbm (No. 127)
Symmetry-distinct sites (fractional):
K (0.000, 0.000, 0.000) [2 per cell]
Ga (0.121, 0.379, 0.000) [4 per cell]
Pd (0.173, 0.673, 0.500) [4 per cell]